VASP calculation (PBE) on a relaxed PuZn2Cu2 crystal.

Properties
- ΔH_f (0 K): -0.058 eV per atom
- VASP energy: -50.72 eV per cell
- Polymorph energy (0 for the lowest one): 0.000 eV/atom
- Crystal system: tetragonal

abc: 2.7036 7.6989 7.6989
angles: 90.00 90.00 90.00
Closest atoms and distances in Å follow each position.
Fractional coordinates of all 10 atoms:
Zn 0.0000 0.3800 0.8800  6 Cu 2.61-2.67, 3 Zn 2.61-2.70
Pu 0.0000 0.5000 0.5000  2 Pu 2.70
Zn 0.0000 0.8800 0.6200  6 Cu 2.61-2.67, 3 Zn 2.61-2.70
Cu 0.5000 0.8253 0.3253  6 Zn 2.61-2.67, 2 Cu 2.70
Pu 0.0000 0.0000 0.0000  2 Pu 2.70
Cu 0.5000 0.1747 0.6747  6 Zn 2.61-2.67, 2 Cu 2.70
Zn 0.0000 0.1200 0.3800  6 Cu 2.61-2.67, 3 Zn 2.61-2.70
Cu 0.5000 0.6747 0.8253  6 Zn 2.61-2.67, 2 Cu 2.70
Zn 0.0000 0.6200 0.1200  6 Cu 2.61-2.67, 3 Zn 2.61-2.70
Cu 0.5000 0.3253 0.1747  6 Zn 2.61-2.67, 2 Cu 2.70